[1]
4
Lattice="-2.133 1.229 -3.666 -2.446 -0.121 1.383 -0.552 5.196 2.063" Properties=species:S:1:pos:R:3 comment="AlInMo2 (PBE, optimized geometry)" e_form_ev_per_atom=0.18 e_above_lowest_polymorph_mev_per_atom=158 space_group="P2/m, No. 10" pbc="T T T"
Mo -2.426 -0.002 1.411
Mo -1.520 2.419 1.695
Al -1.816 1.883 -0.971
In -3.315 4.421 0.752


[2]
10
Lattice="-1.863 -5.128 -3.770 6.270 -2.154 -0.169 -0.726 -2.396 3.618" Properties=species:S:1:pos:R:3 comment="AlIn2Mo2 (PBE, optimized geometry)" e_form_ev_per_atom=0.22 space_group="P4/mbm, No. 127" pbc="T T T"
Mo 4.756 -3.756 -1.533
Mo 2.346 -5.812 -3.379
Mo -0.349 -3.526 -2.406
Mo 2.060 -1.470 -0.560
Al 0.000 0.000 0.000
Al 2.203 -3.641 -1.969
In 3.520 -3.511 1.056
In 3.596 -6.421 -0.856
In 0.161 -6.168 -1.377
In 0.085 -3.258 0.535


[3]
8
Lattice="-3.958 5.633 2.376 -6.041 -4.037 -0.494 -4.649 -0.042 3.515" Properties=species:S:1:pos:R:3 comment="AlInMo2 (PBE, optimized geometry)" e_form_ev_per_atom=0.65 e_above_lowest_polymorph_mev_per_atom=628 space_group="I-42d, No. 122" pbc="T T T"
Mo -4.289 2.860 2.241
Mo -5.535 -1.684 0.928
Mo -7.392 0.463 3.329
Mo -12.081 1.469 4.296
Al -5.000 0.798 0.941
Al -7.845 -1.640 1.981
In 0.000 0.000 0.000
In -6.804 3.195 3.416


In states/eV per atom, the DOS(E_F) values for the records above are, in order, 0.656 0.687 0.670.
In μB per formula unit, the magnetization values for the records above are, in order, 0.00 0.00 0.00.